(1)
Density functional theory data (PBE-GGA) for a relaxed CeU4S5 crystal.

abc: 3.8697 6.7759 8.6992
angles: 75.11 77.15 73.41
Closest atoms and distances in Å follow each position.
Element x y z (fractional)
S1 0.2010 0.9038 0.6941  5 U 2.73-2.74, 1 Ce 2.79
S2 0.6048 0.6882 0.1022  4 U 2.73-2.75, 2 Ce 2.81
U1 0.4019 0.7968 0.3995  6 S 2.73-2.75
S3 0.0000 0.5000 0.5000  6 U 2.74
S4 0.7990 0.0962 0.3059  5 U 2.73-2.74, 1 Ce 2.79
S5 0.3952 0.3118 0.8978  4 U 2.73-2.75, 2 Ce 2.81
U2 0.7984 0.6066 0.7965  6 S 2.73-2.75
U3 0.5981 0.2032 0.6005  6 S 2.73-2.75
Ce1 0.0000 0.0000 0.0000  6 S 2.79-2.81
U4 0.2016 0.3934 0.2035  6 S 2.73-2.75

Calculated values
**SG**: C2/m (12)
**Raw formation energy**: -1.50 eV/atom

***

(2)
Density functional theory data (PBE-GGA) for a relaxed Ce2U3S8 crystal.

abc: 4.7078 9.4286 8.2456
angles: 124.87 90.00 90.00
Closest atoms and distances in Å follow each position.
Element x y z (fractional)
Ce1 0.5000 0.7346 0.4693  8 S 2.79-3.11
S1 0.0000 0.3763 0.7525  2 U 2.73, 2 Ce 2.79
S2 0.0000 0.1153 0.2306  4 U 2.82-3.00, 2 Ce 3.11, 1 S 3.12
U1 0.0000 0.7282 0.0000  8 S 2.73-3.00
S3 0.0000 0.8847 0.7694  4 U 2.82-3.00, 2 Ce 3.11, 1 S 3.12
S4 0.5000 0.3597 0.2387  3 U 2.78-2.87, 2 Ce 2.90-3.01
S5 0.5000 0.1210 0.7613  3 U 2.78-2.87, 2 Ce 2.90-3.01
S6 0.5000 0.8790 0.2387  3 U 2.78-2.87, 2 Ce 2.90-3.01
U2 0.5000 0.0000 0.0000  8 S 2.78-2.82
Ce2 0.5000 0.2654 0.5307  8 S 2.79-3.11
S7 0.0000 0.6237 0.2475  2 U 2.73, 2 Ce 2.79
S8 0.5000 0.6403 0.7613  3 U 2.78-2.87, 2 Ce 2.90-3.01
U3 0.0000 0.2718 0.0000  8 S 2.73-3.00

Calculated values
**Distance to the lowest polymorph of the same formula**: 0.00 eV per formula unit
**SG**: Cmmm (65)
**Raw formation energy**: -1.59 eV/atom

***

(3)
Density functional theory data (PBE-GGA) for a relaxed Ce2US crystal.

abc: 3.2871 3.2871 8.4725
angles: 90.00 90.00 90.00
Closest atoms and distances in Å follow each position.
Element x y z (fractional)
U1 0.5000 0.5000 0.0000  4 U 3.29, 8 Ce 3.34
Ce1 0.0000 0.0000 0.2826  4 S 2.97, 4 Ce 3.29
S1 0.5000 0.5000 0.5000  8 Ce 2.97, 4 S 3.29
Ce2 0.0000 0.0000 0.7174  4 S 2.97, 4 Ce 3.29

Calculated values
**SG**: P4/mmm (123)
**Raw formation energy**: -0.48 eV/atom